Here is a PBEsol-optimized structure of SiAsPtI2 from Alexandria. Energies are from SCAN.

a = 5.4872 Å, b = 5.4872 Å, c = 4.5059 Å
α = 90.00°, β = 90.00°, γ = 90.00°
Last column: nearest neighbours and their distance in Å.
Space group P4/mmm (No. 123)
One atom of each set of equivalent atoms:
Si 0.0000 0.0000 0.0000 (multiplicity 1)  2 Pt 2.25
As 0.5000 0.5000 0.0000 (multiplicity 1)  8 I 3.55, 4 Si 3.88
Pt 0.0000 0.0000 0.5000 (multiplicity 1)  2 Si 2.25
I 0.0000 0.5000 0.5000 (multiplicity 2)  2 Pt 2.74

Total energy ... -34.1341 eV/atom
D(E_F) ... 3.7 states/eV per cell
ΔE_f (raw) ... 0.642 eV/atom

***

Here is a PBEsol-optimized structure of ReAs2Os2 from Alexandria. Energies are from SCAN.

a = 3.7018 Å, b = 3.7018 Å, c = 11.5166 Å
α = 90.00°, β = 90.00°, γ = 90.00°
Last column: nearest neighbours and their distance in Å.
Space group I4/mmm (No. 139)
One atom of each set of equivalent atoms:
Re 0.0000 0.0000 0.0000 (multiplicity 2)  8 Os 2.89
As 0.0000 0.5000 0.2500 (multiplicity 4)  4 Os 2.48, 4 As 2.62
Os 0.0000 0.0000 0.3928 (multiplicity 4)  1 Os 2.47, 4 As 2.48

Total energy ... -50.3213 eV/atom
D(E_F) ... 5.4 states/eV per cell
Calculated formation energy ... 0.73 eV per atom

***

Here is a PBEsol-optimized structure of Tl2TeBr from Alexandria. Energies are from SCAN.

a = 4.4106 Å, b = 4.4106 Å, c = 12.7005 Å
α = 90.00°, β = 90.00°, γ = 90.00°
Last column: nearest neighbours and their distance in Å.
Space group I-4m2 (No. 119)
One atom of each set of equivalent atoms:
Tl 0.0000 0.0000 0.0000 (multiplicity 2)  4 Br 3.12
Tl 0.0000 0.5000 0.2500 (multiplicity 2)  4 Te 3.12
Te 0.0000 0.5000 0.7500 (multiplicity 2)  4 Tl 3.12
Br 0.0000 0.0000 0.5000 (multiplicity 2)  4 Tl 3.12

Total energy ... -50.7323 eV/atom
Energy above the most stable polymorph in this dataset ... 102.3 meV per atom
D(E_F) ... 1.8 states/eV per cell
ΔE_f (raw) ... -0.375 eV/atom

***

Here is a PBEsol-optimized structure of TaIn2BPb from Alexandria. Energies are from SCAN.

a = 5.5567 Å, b = 5.5567 Å, c = 5.3562 Å
α = 90.00°, β = 90.00°, γ = 90.00°
Last column: nearest neighbours and their distance in Å.
Space group P4/mmm (No. 123)
One atom of each set of equivalent atoms:
Ta 0.0000 0.0000 0.0000 (multiplicity 1)  2 Pb 2.68
In 0.0000 0.5000 0.5000 (multiplicity 2)  2 Pb 2.78
B 0.5000 0.5000 0.0000 (multiplicity 1)  8 In 3.86, 4 Ta 3.93
Pb 0.0000 0.0000 0.5000 (multiplicity 1)  2 Ta 2.68, 4 In 2.78

Total energy ... -40.9766 eV/atom
D(E_F) ... 5.4 states/eV per cell
Calculated formation energy ... 2.34 eV per atom

***

Here is a PBEsol-optimized structure of CdTePb2 from Alexandria. Energies are from SCAN.

a = 3.9077 Å, b = 5.4028 Å, c = 10.5437 Å
α = 90.00°, β = 90.00°, γ = 90.00°
Last column: nearest neighbours and their distance in Å.
Space group Imm2 (No. 44)
One atom of each set of equivalent atoms:
Cd 0.0000 0.0000 0.0000 (multiplicity 2)  2 Te 3.06, 6 Pb 3.21-3.35
Te 0.0000 0.5000 0.2762 (multiplicity 2)  2 Cd 3.06, 6 Pb 3.28-3.35
Pb 0.0000 0.0000 0.5266 (multiplicity 2)  2 Te 3.28, 4 Cd 3.35, 4 Pb 3.53-3.58
Pb 0.0000 0.5000 0.7417 (multiplicity 2)  2 Cd 3.21, 4 Te 3.35, 4 Pb 3.53-3.58

Total energy ... -54.7994 eV/atom
Energy above the most stable polymorph in this dataset ... 0.0 meV per atom
D(E_F) ... 3.8 states/eV per cell
ΔE_f (raw) ... 0.008 eV/atom

***

Here is a PBEsol-optimized structure of FeAg2Te from Alexandria. Energies are from SCAN.

a = 5.4393 Å, b = 10.2287 Å, c = 3.1589 Å
α = 90.00°, β = 125.43°, γ = 90.00°
Last column: nearest neighbours and their distance in Å.
Space group C2/m (No. 12)
One atom of each set of equivalent atoms:
Fe 0.0000 0.0000 0.0000 (multiplicity 2)  4 Te 2.72, 4 Ag 2.90
Ag 0.2500 0.2500 0.5000 (multiplicity 4)  4 Ag 2.72, 2 Fe 2.90, 2 Te 2.90
Te 0.0000 0.5000 0.0000 (multiplicity 2)  4 Fe 2.72, 4 Ag 2.90

Total energy ... -29.1534 eV/atom
D(E_F) ... 4.1 states/eV per cell
ΔE_f (raw) ... 0.375 eV/atom

***

Here is a PBEsol-optimized structure of SrTaSb2Te from Alexandria. Energies are from SCAN.

a = 5.3419 Å, b = 5.3419 Å, c = 5.4816 Å
α = 90.00°, β = 90.00°, γ = 90.00°
Last column: nearest neighbours and their distance in Å.
Space group P4/mmm (No. 123)
One atom of each set of equivalent atoms:
Sr 0.0000 0.0000 0.0000 (multiplicity 1)  4 Te 3.78, 8 Sb 3.83
Ta 0.5000 0.5000 0.5000 (multiplicity 1)  4 Sb 2.67, 2 Te 2.74
Sb 0.0000 0.5000 0.5000 (multiplicity 2)  2 Ta 2.67
Te 0.5000 0.5000 0.0000 (multiplicity 1)  2 Ta 2.74

Total energy ... -40.3479 eV/atom
D(E_F) ... 3.0 states/eV per cell
ΔE_f (raw) ... -0.222 eV/atom

***

Here is a PBEsol-optimized structure of ZnP4 from Alexandria. Energies are from SCAN.

a = 4.9623 Å, b = 4.9623 Å, c = 14.3889 Å
α = 90.00°, β = 90.00°, γ = 90.00°
Last column: nearest neighbours and their distance in Å.
Space group P4_12_12 (No. 92)
One atom of each set of equivalent atoms:
Zn 0.1963 0.1963 0.0000 (multiplicity 4)  6 P 2.50-2.71
P 0.0165 0.8979 0.1251 (multiplicity 8)  2 P 2.18-2.20
P 0.0692 0.6788 0.7980 (multiplicity 8)  3 P 2.18-2.24

Total energy ... -11.1449 eV/atom
Calculated formation energy ... -0.12 eV per atom